VASP calculation (GGA+U) on a relaxed structure of LaCoNO.

Structure (POSCAR):
```
LaCoNO
1.0
3.831 0.000 0.000
0.000 3.831 0.000
0.000 0.000 7.794
Co La N O
2 2 2 2
direct
0.750 0.250 0.500
0.250 0.750 0.500
0.250 0.250 0.169
0.750 0.750 0.831
0.750 0.750 0.393
0.250 0.250 0.607
0.750 0.250 0.000
0.250 0.750 0.000
```

## Properties
Size of the total moment   6.0 μB per cell
Symmetry   P4/nmm, No. 129
Energy relative to the lowest polymorph listed for this composition   0.022 eV/atom